VASP calculation (PBE+U) on a relaxed structure of LiNiSnF2.

VASP energy (Ha/atom): -0.115
Theoretical density (g cm⁻³): 3.07

a b c (Å): 4.3921 6.2426 4.3921
angles (deg): 90.00 90.00 90.00
Each line ends with the local moment (μB).
Element x y z (fractional)
1 F 0.0000 0.0000 0.5000  0.00
2 F 0.5000 0.0000 0.0000  0.00
3 Sn 0.0000 0.0000 0.0000  -0.01
4 Li 0.0000 0.5000 0.0000  -0.01
5 Ni 0.5000 0.5000 0.5000  1.01